No. 1
# BaNa2BiS

A relaxed structure of BaNa2BiS (GGA-PBE, the Alexandria database).

Output
Energy relative to the elements, uncorrected in meV per atom: -838

abc: 5.321 5.321 6.188
angles: 90.00 90.00 90.00
Each line ends with the local moment (μB).
Element x y z (fractional)
Ba 0.000 0.000 0.500  0.01
S 0.000 0.000 0.000  0.04
Bi 0.500 0.500 0.500  0.31
Na 0.000 0.500 0.000  0.00
Na 0.500 0.000 0.000  0.00

=====

No. 2
# Mg2CdW

A relaxed structure of Mg2CdW (GGA-PBE, the Alexandria database).

Output
Formation energy in eV/atom: 0.37

abc: 5.349 5.349 2.846
angles: 90.00 90.00 113.02
Element x y z (fractional)
Mg 0.000 0.000 0.000
Cd 0.000 0.500 0.500
W 0.500 0.000 0.500
Mg 0.500 0.500 0.000

=====

Number 1: E -3.35 eV per atom. Number 2: E -3.90 eV per atom.